[1]
# CsRbTe2Pb PBE optimized geometry
data_CsRbTe2Pb
_chemical_formula_sum 'Cs4 Rb4 Te8 Pb4'
_space_group_name_H-M_alt 'C 1 2/m 1'
_space_group_IT_number 12
_space_group_name_Hall '-C 2y'
_cell_length_a 20.0386
_cell_length_b 5.0676
_cell_length_c 11.8941
_cell_angle_alpha 90.00
_cell_angle_beta 100.22
_cell_angle_gamma 90.00
loop_
_atom_site_label
_atom_site_type_symbol
_atom_site_fract_x
_atom_site_fract_y
_atom_site_fract_z
_atom_site_occupancy
Cs1 Cs 0.1139 0.0000 0.1182 1
Rb1 Rb 0.1679 0.0000 0.5729 1
Te1 Te 0.0562 0.0000 0.7905 1
Te2 Te 0.1478 0.5000 0.3492 1
Pb1 Pb 0.0005 0.5000 0.3502 1
# Raw formation energy ... -71.96 kJ per mole of atoms

=====

[2]
Pm2Tm2Mg3 | PBE | optimized geometry

```
data_Pm2Tm2Mg3
_chemical_formula_sum 'Pm4 Tm4 Mg6'
_space_group_name_H-M_alt 'C m m m'
_space_group_IT_number 65
_space_group_name_Hall '-C 2 2'
_cell_length_a 5.0161
_cell_length_b 23.8833
_cell_length_c 3.3197
_cell_angle_alpha 90.00
_cell_angle_beta 90.00
_cell_angle_gamma 90.00
loop_
_atom_site_label
_atom_site_type_symbol
_atom_site_fract_x
_atom_site_fract_y
_atom_site_fract_z
_atom_site_occupancy
Pm1 Pm 0.0000 0.0734 0.0000 1
Tm1 Tm 0.0000 0.2091 0.0000 1
Mg1 Mg 0.0000 0.3470 0.5000 1
Mg2 Mg 0.0000 0.5000 0.5000 1
```

=====

[3]
# TbDy2Tl2 PBE optimized geometry
data_TbDy2Tl2
_chemical_formula_sum 'Tb1 Dy2 Tl2'
_space_group_name_H-M_alt 'P -3 m 1'
_space_group_IT_number 164
_space_group_name_Hall '-P 3 2"'
_cell_length_a 5.2582
_cell_length_b 5.2582
_cell_length_c 6.5120
_cell_angle_alpha 90.00
_cell_angle_beta 90.00
_cell_angle_gamma 120.00
loop_
_atom_site_label
_atom_site_type_symbol
_atom_site_fract_x
_atom_site_fract_y
_atom_site_fract_z
_atom_site_occupancy
Tb1 Tb 0.0000 0.0000 0.0000 1
Dy1 Dy 0.3333 0.6667 0.6707 1
Tl1 Tl 0.3333 0.6667 0.1911 1
# Energy relative to the lowest polymorph listed for this composition ... 146 meV per atom

=====

[4]
# PmMgBeN2 PBE optimized geometry
data_PmMgBeN2
_chemical_formula_sum 'Pm2 Mg2 Be2 N4'
_space_group_name_H-M_alt 'P 1 2/c 1'
_space_group_IT_number 13
_space_group_name_Hall '-P 2yc'
_cell_length_a 5.5687
_cell_length_b 4.0194
_cell_length_c 6.0018
_cell_angle_alpha 90.00
_cell_angle_beta 102.82
_cell_angle_gamma 90.00
loop_
_atom_site_label
_atom_site_type_symbol
_atom_site_fract_x
_atom_site_fract_y
_atom_site_fract_z
_atom_site_occupancy
Pm1 Pm 0.0000 0.2279 0.2500 1
Mg1 Mg 0.5000 0.4847 0.7500 1
Be1 Be 0.5000 0.0000 0.0000 1
N1 N 0.2799 0.2528 0.9568 1
# Raw formation energy ... -70.96 kJ per mole of atoms

=====

[5]
Cd2MoPb | PBE | optimized geometry

```
data_Cd2MoPb
_chemical_formula_sum 'Cd2 Mo1 Pb1'
_space_group_name_H-M_alt 'P 4 m m'
_space_group_IT_number 99
_space_group_name_Hall 'P 4 -2'
_cell_length_a 3.6776
_cell_length_b 3.6776
_cell_length_c 6.2775
_cell_angle_alpha 90.00
_cell_angle_beta 90.00
_cell_angle_gamma 90.00
loop_
_atom_site_label
_atom_site_type_symbol
_atom_site_fract_x
_atom_site_fract_y
_atom_site_fract_z
_atom_site_occupancy
Cd1 Cd 0.0000 0.0000 0.0000 1
Cd2 Cd 0.5000 0.5000 0.2352 1
Mo1 Mo 0.0000 0.0000 0.4889 1
Pb1 Pb 0.5000 0.5000 0.7034 1
```

=====

[6]
# La4SiSn2 PBE optimized geometry
data_La4SiSn2
_chemical_formula_sum 'La8 Si2 Sn4'
_space_group_name_H-M_alt 'C 1 2/m 1'
_space_group_IT_number 12
_space_group_name_Hall '-C 2y'
_cell_length_a 11.7879
_cell_length_b 4.8035
_cell_length_c 9.1420
_cell_angle_alpha 90.00
_cell_angle_beta 120.41
_cell_angle_gamma 90.00
loop_
_atom_site_label
_atom_site_type_symbol
_atom_site_fract_x
_atom_site_fract_y
_atom_site_fract_z
_atom_site_occupancy
La1 La 0.0819 0.0000 0.3684 1
La2 La 0.1754 0.5000 0.0625 1
Si1 Si 0.0000 0.0000 0.0000 1
Sn1 Sn 0.1397 0.5000 0.6592 1
# Raw formation energy ... -67.74 kJ per mole of atoms
# Energy relative to the lowest polymorph listed for this composition ... 0 meV per atom

=====

In eV per atom, the total DFT energy (no corrections) values for the records above are, in order, -3.1084 -3.2794 -3.8497 -6.0798 -3.5998 -5.4361.